Entry 1:
An optimized crystal structure of TmCdSbAu, computed with PBE.

Output
- Total moment: 0.000 μB/atom
- Fermi-level density of states: 3.21 states/eV/f.u.
- Raw formation energy: -402 meV per atom
- Density: 10.6 Mg/m³

Cell and atoms, written as CIF:
```
data_TmCdSbAu
_chemical_formula_sum 'Tm4 Cd4 Sb4 Au4'
_symmetry_space_group_name_H-M 'F -4 3 m'
_symmetry_Int_Tables_number 216
_symmetry_space_group_name_Hall 'F -4 2 3'
_cell_length_a 7.217
_cell_length_b 7.217
_cell_length_c 7.217
_cell_angle_alpha 90.00
_cell_angle_beta 90.00
_cell_angle_gamma 90.00
loop_
_atom_site_label
_atom_site_type_symbol
_atom_site_fract_x
_atom_site_fract_y
_atom_site_fract_z
Tm1 Tm 0.000 0.000 0.000
Cd1 Cd 0.000 0.000 0.500
Sb1 Sb 0.250 0.250 0.750
Au1 Au 0.250 0.250 0.250
```

Entry 2:
An optimized crystal structure of Be2ZnW, computed with PBE.

Output
- Total moment: 0.000 μB/atom
- Fermi-level density of states: 0.13 states/eV/f.u.
- Density: 9.0 Mg/m³
- ΔE_f: 0.55 eV per atom

Cell and atoms, written as CIF:
```
data_Be2ZnW
_chemical_formula_sum 'Be8 Zn4 W4'
_symmetry_space_group_name_H-M 'I -4 2 d'
_symmetry_Int_Tables_number 122
_symmetry_space_group_name_Hall 'I -4 2bw'
_cell_length_a 6.219
_cell_length_b 6.219
_cell_length_c 5.110
_cell_angle_alpha 90.00
_cell_angle_beta 90.00
_cell_angle_gamma 90.00
loop_
_atom_site_label
_atom_site_type_symbol
_atom_site_fract_x
_atom_site_fract_y
_atom_site_fract_z
Be1 Be 0.226 0.750 0.125
Zn1 Zn 0.000 0.000 0.000
W1 W 0.000 0.000 0.500
```

Entry 3:
An optimized crystal structure of Li2Sm2HgPd5, computed with PBE.

Output
- Total moment: 0.000 μB/atom
- Fermi-level density of states: 4.59 states/eV/f.u.
- Density: 9.8 Mg/m³
- ΔE_f: -0.59 eV per atom

Cell and atoms, written as CIF:
```
data_Li2Sm2HgPd5
_chemical_formula_sum 'Li4 Sm4 Hg2 Pd10'
_symmetry_space_group_name_H-M 'P 4/m b m'
_symmetry_Int_Tables_number 127
_symmetry_space_group_name_Hall '-P 4 2ab'
_cell_length_a 9.549
_cell_length_b 9.549
_cell_length_c 3.879
_cell_angle_alpha 90.00
_cell_angle_beta 90.00
_cell_angle_gamma 90.00
loop_
_atom_site_label
_atom_site_type_symbol
_atom_site_fract_x
_atom_site_fract_y
_atom_site_fract_z
Li1 Li 0.116 0.384 0.000
Sm1 Sm 0.182 0.682 0.000
Hg1 Hg 0.000 0.000 0.000
Pd1 Pd 0.000 0.500 0.500
Pd2 Pd 0.068 0.212 0.500
```

Entry 4:
An optimized crystal structure of La7FeCl12, computed with PBE.

Output
- Total moment: 0.057 μB/atom
- Fermi-level density of states: 12.89 states/eV/f.u.
- Raw formation energy: -1944 meV per atom
- Density: 3.5 Mg/m³

Cell and atoms, written as CIF:
```
data_La7FeCl12
_chemical_formula_sum 'La21 Fe3 Cl36'
_symmetry_space_group_name_H-M 'R -3'
_symmetry_Int_Tables_number 148
_symmetry_space_group_name_Hall '-R 3'
_cell_length_a 14.9878
_cell_length_b 14.9878
_cell_length_c 10.7612
_cell_angle_alpha 90.00
_cell_angle_beta 90.00
_cell_angle_gamma 120.00
loop_
_atom_site_label
_atom_site_type_symbol
_atom_site_fract_x
_atom_site_fract_y
_atom_site_fract_z
La1 La 0.0000 0.0000 0.0000
La2 La 0.0327 0.8674 0.3553
Fe1 Fe 0.0000 0.0000 0.5000
Cl1 Cl 0.0255 0.4479 0.1523
Cl2 Cl 0.0347 0.8753 0.8324
```

Entry 5:
An optimized crystal structure of Mg2Ag6Hg, computed with PBE.

Output
- Total moment: 0.000 μB/atom
- Fermi-level density of states: 2.24 states/eV/f.u.
- ΔE to the lowest computed polymorph: 0.0 kJ/mol of atoms
- Density: 9.0 Mg/m³
- ΔE_f: -0.12 eV per atom

Cell and atoms, written as CIF:
```
data_Mg2Ag6Hg
_chemical_formula_sum 'Mg4 Ag12 Hg2'
_symmetry_space_group_name_H-M 'C 1 2/m 1'
_symmetry_Int_Tables_number 12
_cell_length_a 9.441
_cell_length_b 4.131
_cell_length_c 9.036
_cell_angle_alpha 90.00
_cell_angle_beta 109.32
_cell_angle_gamma 90.00
loop_
_symmetry_equiv_pos_as_xyz
'x,y,z'
'-x,-y,-z'
'-x,y,-z'
'x,-y,z'
'x+1/2,y+1/2,z'
'-x+1/2,-y+1/2,-z'
'-x+1/2,y+1/2,-z'
'x+1/2,-y+1/2,z'
loop_
_atom_site_label
_atom_site_type_symbol
_atom_site_fract_x
_atom_site_fract_y
_atom_site_fract_z
Mg1 Mg 0.171 0.000 0.232
Ag1 Ag 0.000 0.500 0.336
Ag2 Ag 0.166 0.000 0.554
Ag3 Ag 0.166 0.000 0.884
Hg1 Hg 0.000 0.500 0.000
```

Entry 6:
An optimized crystal structure of IrAuO2F, computed with PBE.

Output
- Total moment: 0.608 μB/atom
- Fermi-level density of states: 4.96 states/eV/f.u.
- Raw formation energy: 974 meV per atom
- Density: 10.1 Mg/m³

Cell and atoms, written as CIF:
```
data_IrAuO2F
_chemical_formula_sum 'Ir1 Au1 O2 F1'
_symmetry_space_group_name_H-M 'P 4/m m m'
_symmetry_Int_Tables_number 123
_symmetry_space_group_name_Hall '-P 4 2'
_cell_length_a 4.173
_cell_length_b 4.173
_cell_length_c 4.145
_cell_angle_alpha 90.00
_cell_angle_beta 90.00
_cell_angle_gamma 90.00
loop_
_atom_site_label
_atom_site_type_symbol
_atom_site_fract_x
_atom_site_fract_y
_atom_site_fract_z
Ir1 Ir 0.000 0.000 0.000
Au1 Au 0.500 0.500 0.500
O1 O 0.000 0.500 0.500
F1 F 0.500 0.500 0.000
```

Entry 7:
An optimized crystal structure of RbZn2Cu, computed with PBE.

Output
- Total moment: 0.000 μB/atom
- Fermi-level density of states: 0.01 states/eV/f.u.
- ΔE to the lowest computed polymorph: 0.0 kJ/mol of atoms
- Density: 3.8 Mg/m³
- ΔE_f: 0.19 eV per atom

Cell and atoms, written as CIF:
```
data_RbZn2Cu
_chemical_formula_sum 'Rb4 Zn8 Cu4'
_symmetry_space_group_name_H-M 'I 41/a m d'
_symmetry_Int_Tables_number 141
_cell_length_a 5.603
_cell_length_b 5.603
_cell_length_c 15.653
_cell_angle_alpha 90.00
_cell_angle_beta 90.00
_cell_angle_gamma 90.00
loop_
_symmetry_equiv_pos_as_xyz
'x,y,z'
'-x,-y,-z'
'-y+1/4,x+3/4,z+1/4'
'y+1/4,-x+3/4,-z+1/4'
'-x+1/2,-y,z+1/2'
'x+1/2,y,-z+1/2'
'y+1/4,-x+1/4,z+3/4'
'-y+1/4,x+1/4,-z+3/4'
'x,-y,-z'
'-x,y,z'
'-y+1/4,-x+1/4,-z+3/4'
'y+1/4,x+1/4,z+3/4'
'-x+1/2,y,-z+1/2'
'x+1/2,-y,z+1/2'
'y+1/4,x+3/4,-z+1/4'
'-y+1/4,-x+3/4,z+1/4'
'x+1/2,y+1/2,z+1/2'
'-x+1/2,-y+1/2,-z+1/2'
'-y+3/4,x+1/4,z+3/4'
'y+3/4,-x+1/4,-z+3/4'
'-x,-y+1/2,z'
'x,y+1/2,-z'
'y+3/4,-x+3/4,z+1/4'
'-y+3/4,x+3/4,-z+1/4'
'x+1/2,-y+1/2,-z+1/2'
'-x+1/2,y+1/2,z+1/2'
'-y+3/4,-x+3/4,-z+1/4'
'y+3/4,x+3/4,z+1/4'
'-x,y+1/2,-z'
'x,-y+1/2,z'
'y+3/4,x+1/4,-z+3/4'
'-y+3/4,-x+1/4,z+3/4'
loop_
_atom_site_label
_atom_site_type_symbol
_atom_site_fract_x
_atom_site_fract_y
_atom_site_fract_z
Rb1 Rb 0.000 0.250 0.375
Zn1 Zn 0.000 0.000 0.000
Cu1 Cu 0.000 0.250 0.875
```

Entry 8:
An optimized crystal structure of BP2HS, computed with PBE.

Output
- Total moment: 0.054 μB/atom
- Fermi-level density of states: 2.14 states/eV/f.u.
- ΔE to the lowest computed polymorph: 7.7 kJ/mol of atoms
- Density: 2.6 Mg/m³

Cell and atoms, written as CIF:
```
data_BP2HS
_chemical_formula_sum 'B1 P2 H1 S1'
_symmetry_space_group_name_H-M 'P 4/m m m'
_symmetry_Int_Tables_number 123
_symmetry_space_group_name_Hall '-P 4 2'
_cell_length_a 4.085
_cell_length_b 4.085
_cell_length_c 4.095
_cell_angle_alpha 90.00
_cell_angle_beta 90.00
_cell_angle_gamma 90.00
loop_
_atom_site_label
_atom_site_type_symbol
_atom_site_fract_x
_atom_site_fract_y
_atom_site_fract_z
B1 B 0.000 0.000 0.000
P1 P 0.000 0.500 0.000
H1 H 0.500 0.500 0.500
S1 S 0.000 0.000 0.500
```